# 1
VASP calculation (PBE) on crystalline MnSi2Ni2 at its relaxed geometry. Values from VASP.

Cell and atoms, written as Quantum ESPRESSO input:
```
&SYSTEM
  ibrav = 0, nat = 10, ntyp = 3
/
ATOMIC_SPECIES
Ni 58.69 Ni.upf
Si 28.09 Si.upf
Mn 54.94 Mn.upf
CELL_PARAMETERS angstrom
-4.214 -4.692 1.932
-0.457 -2.150 -6.219
2.001 -1.626 0.415
ATOMIC_POSITIONS crystal
Ni 0.140 0.640 0.500
Ni 0.640 0.860 0.500
Ni 0.860 0.360 0.500
Ni 0.360 0.140 0.500
Si 0.343 0.843 0.000
Si 0.843 0.657 0.000
Si 0.657 0.157 0.000
Si 0.157 0.343 0.000
Mn 0.000 0.000 0.000
Mn 0.500 0.500 0.000
```

Output
Formation energy from raw total energies: -0.301 eV per atom
Density of states at the Fermi level: 1.161 states/eV per atom
Calculated volume: 11.36 Å³ per atom



# 2
VASP calculation (PBE) on crystalline NdLuZnRh at its relaxed geometry. Values from VASP.

Cell and atoms, written as Quantum ESPRESSO input:
```
&SYSTEM
  ibrav = 0, nat = 4, ntyp = 4
/
ATOMIC_SPECIES
Rh 102.91 Rh.upf
Zn 65.41 Zn.upf
Lu 174.97 Lu.upf
Nd 144.24 Nd.upf
CELL_PARAMETERS angstrom
4.974 0.000 0.000
2.487 4.308 0.000
2.487 1.436 4.061
ATOMIC_POSITIONS crystal
Rh 0.500 0.500 0.500
Zn 0.000 0.000 0.000
Lu 0.750 0.750 0.750
Nd 0.250 0.250 0.250
```

Output
Density of states at the Fermi level: 0.571 states/eV per atom
Calculated volume: 21.75 Å³ per atom
DFT formation energy: -2.22 eV/f.u.



# 3
VASP calculation (PBE) on crystalline CuTeF2 at its relaxed geometry. Values from VASP.

Cell and atoms, written as Quantum ESPRESSO input:
```
&SYSTEM
  ibrav = 0, nat = 4, ntyp = 3
/
ATOMIC_SPECIES
Te 127.60 Te.upf
Cu 63.55 Cu.upf
F 19.00 F.upf
CELL_PARAMETERS angstrom
-6.616 -2.663 4.166
-6.387 -4.876 1.912
-4.637 -5.107 4.542
ATOMIC_POSITIONS crystal
Te 0.000 0.000 0.000
Cu 0.500 0.500 0.500
F 0.876 0.876 0.876
F 0.124 0.124 0.124
```

Output
Formation energy from raw total energies: -0.978 eV per atom
Density of states at the Fermi level: 1.155 states/eV per atom
Polymorph energy (0 for the lowest one): 0 meV/atom
Calculated volume: 17.49 Å³ per atom



# 4
VASP calculation (PBE) on crystalline YTePtN2 at its relaxed geometry. Values from VASP.

Cell and atoms, written as Quantum ESPRESSO input:
```
&SYSTEM
  ibrav = 0, nat = 5, ntyp = 4
/
ATOMIC_SPECIES
Y 88.91 Y.upf
Te 127.60 Te.upf
Pt 195.08 Pt.upf
N 14.01 N.upf
CELL_PARAMETERS angstrom
-1.135 1.056 3.817
-3.877 0.517 -1.296
-1.332 -6.486 1.398
ATOMIC_POSITIONS crystal
Y 0.000 0.000 0.000
Te 0.000 0.000 0.500
Pt 0.500 0.500 0.500
N 0.000 0.500 0.000
N 0.500 0.000 0.000
```

Output
Formation energy from raw total energies: 1.121 eV per atom
Density of states at the Fermi level: 1.515 states/eV per atom
Polymorph energy (0 for the lowest one): 437 meV/atom
Calculated volume: 22.98 Å³ per atom



# 5
VASP calculation (PBE) on crystalline Rb2LaFeH at its relaxed geometry. Values from VASP.

Cell and atoms, written as Quantum ESPRESSO input:
```
&SYSTEM
  ibrav = 0, nat = 5, ntyp = 4
/
ATOMIC_SPECIES
H 1.01 H.upf
Fe 55.84 Fe.upf
Rb 85.47 Rb.upf
La 138.91 La.upf
CELL_PARAMETERS angstrom
-5.999 2.934 -2.825
-0.099 -2.397 -2.279
-4.068 -4.048 4.433
ATOMIC_POSITIONS crystal
H 0.000 0.500 0.000
Fe 0.000 0.000 0.000
Rb 0.000 0.000 0.500
Rb 0.500 0.000 0.000
La 0.500 0.500 0.500
```

Output
Density of states at the Fermi level: 1.163 states/eV per atom
Calculated volume: 34.80 Å³ per atom
Energy: -13.10 eV/f.u.



# 6
VASP calculation (PBE) on crystalline Pr3ThTe6 at its relaxed geometry. Values from VASP.

Cell and atoms, written as Quantum ESPRESSO input:
```
&SYSTEM
  ibrav = 0, nat = 20, ntyp = 3
/
ATOMIC_SPECIES
Pr 140.91 Pr.upf
Th 232.04 Th.upf
Te 127.60 Te.upf
CELL_PARAMETERS angstrom
7.774 0.000 0.000
0.000 9.820 0.125
0.000 -2.069 9.600
ATOMIC_POSITIONS crystal
Pr 0.488 0.915 0.718
Pr 0.988 0.718 0.915
Pr 0.369 0.407 0.593
Pr 0.869 0.593 0.407
Pr 0.988 0.085 0.282
Pr 0.488 0.282 0.085
Th 0.000 0.165 0.835
Th 0.500 0.835 0.165
Te 0.175 0.702 0.625
Te 0.675 0.625 0.702
Te 0.204 0.434 0.905
Te 0.704 0.905 0.434
Te 0.251 0.005 0.995
Te 0.631 0.234 0.766
Te 0.131 0.766 0.234
Te 0.751 0.995 0.005
Te 0.204 0.095 0.566
Te 0.704 0.566 0.095
Te 0.175 0.375 0.298
Te 0.675 0.298 0.375
```

Output
Formation energy from raw total energies: -1.268 eV per atom
Density of states at the Fermi level: 0.408 states/eV per atom
Polymorph energy (0 for the lowest one): 94 meV/atom
Calculated volume: 36.74 Å³ per atom



# 7
VASP calculation (PBE) on crystalline PuNbGe2 at its relaxed geometry. Values from VASP.

Cell and atoms, written as Quantum ESPRESSO input:
```
&SYSTEM
  ibrav = 0, nat = 4, ntyp = 3
/
ATOMIC_SPECIES
Pu 244.00 Pu.upf
Nb 92.91 Nb.upf
Ge 72.64 Ge.upf
CELL_PARAMETERS angstrom
-2.461 1.208 3.887
-4.683 -0.805 0.195
-1.714 -3.379 2.875
ATOMIC_POSITIONS crystal
Pu 0.500 0.500 0.500
Nb 0.000 0.000 0.000
Ge 0.250 0.250 0.250
Ge 0.750 0.750 0.750
```

Output
Density of states at the Fermi level: 2.471 states/eV per atom
Polymorph energy (0 for the lowest one): 135 meV/atom
Calculated volume: 19.02 Å³ per atom
DFT formation energy: -0.79 eV/f.u.



# 8
VASP calculation (PBE) on crystalline DyPu4Sb5 at its relaxed geometry. Values from VASP.

Cell and atoms, written as Quantum ESPRESSO input:
```
&SYSTEM
  ibrav = 0, nat = 10, ntyp = 3
/
ATOMIC_SPECIES
Dy 162.50 Dy.upf
Pu 244.00 Pu.upf
Sb 121.76 Sb.upf
CELL_PARAMETERS angstrom
4.307 0.000 0.984
1.817 7.161 1.965
0.011 0.006 9.870
ATOMIC_POSITIONS crystal
Dy 0.000 0.000 0.000
Pu 0.600 0.199 0.600
Pu 0.200 0.401 0.200
Pu 0.800 0.599 0.800
Pu 0.400 0.801 0.400
Sb 0.200 0.899 0.701
Sb 0.800 0.101 0.299
Sb 0.400 0.299 0.900
Sb 0.000 0.500 0.500
Sb 0.600 0.701 0.100
```

Output
Formation energy from raw total energies: -0.697 eV per atom
Density of states at the Fermi level: 5.033 states/eV per atom
Calculated volume: 30.43 Å³ per atom